1.
Compound: La4RhAu
Source: the Alexandria database
Functional: PBE
Structure: relaxed

Output
For the offset from the most stable computed form, the calculation gives 15 meV per atom. Its space group is C2/c (15). As for the calculated volume: 393 Å³/cell. Its energy of formation is -499 meV per atom. As for the density of states at the Fermi level: 16.48 states/eV per cell.

Unit cell a=8.8100 b=8.8100 c=7.1544 alpha=108.42 beta=108.42 gamma=117.15
Last column: nearest neighbours and their distance in Å.
Sites, in units of the cell vectors:
1 La 0.0460 0.6140 0.8311  1 Rh 2.79, 1 Au 3.09
2 La 0.2099 0.2838 0.7439  2 Rh 2.90-2.93, 1 Au 3.14
3 La 0.2838 0.2099 0.2439  2 Rh 2.90-2.93, 1 Au 3.14
4 La 0.3860 0.9540 0.6689  1 Rh 2.79, 1 Au 3.09
5 La 0.6140 0.0460 0.3311  1 Rh 2.79, 1 Au 3.09
6 La 0.7162 0.7901 0.7561  2 Rh 2.90-2.93, 1 Au 3.14
7 La 0.7901 0.7162 0.2561  2 Rh 2.90-2.93, 1 Au 3.14
8 La 0.9540 0.3860 0.1689  1 Rh 2.79, 1 Au 3.09
9 Rh 0.0845 0.9155 0.7500  6 La 2.79-2.93
10 Rh 0.9155 0.0845 0.2500  6 La 2.79-2.93
11 Au 0.3809 0.6191 0.2500  8 La 3.09-3.45
12 Au 0.6191 0.3809 0.7500  8 La 3.09-3.45

2.
Compound: LaRh2Au2
Source: the Alexandria database
Functional: PBE
Structure: relaxed

Output
For the offset from the most stable computed form, the calculation gives 0 meV per atom. Its space group is P4/mbm (127). As for the calculated volume: 194 Å³/cell. Its energy of formation is -338 meV per atom. As for the density of states at the Fermi level: 8.83 states/eV per cell.

Unit cell a=7.3222 b=7.3222 c=3.6094 alpha=90.00 beta=90.00 gamma=90.00
Last column: nearest neighbours and their distance in Å.
Sites, in units of the cell vectors:
1 La 0.0000 0.0000 0.0000  4 Rh 2.85
2 La 0.5000 0.5000 0.0000  4 Rh 2.85
3 Rh 0.1352 0.3648 0.0000  6 Au 2.78-2.82, 1 Rh 2.80, 2 La 2.85
4 Rh 0.3648 0.8648 0.0000  6 Au 2.78-2.82, 1 Rh 2.80, 2 La 2.85
5 Rh 0.6352 0.1352 0.0000  6 Au 2.78-2.82, 1 Rh 2.80, 2 La 2.85
6 Rh 0.8648 0.6352 0.0000  6 Au 2.78-2.82, 1 Rh 2.80, 2 La 2.85
7 Au 0.1603 0.6603 0.5000  6 Rh 2.78-2.82
8 Au 0.3397 0.1603 0.5000  6 Rh 2.78-2.82
9 Au 0.6603 0.8397 0.5000  6 Rh 2.78-2.82
10 Au 0.8397 0.3397 0.5000  6 Rh 2.78-2.82

3.
Compound: La12Rh5Au3
Source: the Alexandria database
Functional: PBE
Structure: relaxed

Output
Its space group is Ia-3d (230). As for the calculated volume: 2597 Å³/cell. Its energy of formation is -464 meV per atom. As for the density of states at the Fermi level: 69.19 states/eV per cell.

Unit cell a=14.9987 b=14.9987 c=14.9987 alpha=109.47 beta=109.47 gamma=109.47
Last column: nearest neighbours and their distance in Å.
Sites, in units of the cell vectors:
1 La 0.0380 0.2135 0.1270  2 Rh 2.67-2.86
2 La 0.0380 0.3245 0.9110  2 Rh 2.67-2.86
3 La 0.0864 0.7135 0.6755  2 Rh 2.67-2.86
4 La 0.0864 0.8730 0.4110  2 Rh 2.67-2.86
5 La 0.0890 0.6270 0.4136  2 Rh 2.67-2.86
6 La 0.0890 0.9620 0.6755  2 Rh 2.67-2.86
7 La 0.1270 0.0380 0.2135  2 Rh 2.67-2.86
8 La 0.1270 0.5890 0.9136  2 Rh 2.67-2.86
9 La 0.1755 0.2135 0.5864  2 Rh 2.67-2.86
10 La 0.1755 0.4620 0.5890  2 Rh 2.67-2.86
11 La 0.2135 0.1270 0.0380  2 Rh 2.67-2.86
12 La 0.2135 0.5864 0.1755  2 Rh 2.67-2.86
13 La 0.2865 0.3245 0.9136  2 Rh 2.67-2.86
14 La 0.2865 0.4620 0.3730  2 Rh 2.67-2.86
15 La 0.3245 0.9110 0.0380  2 Rh 2.67-2.86
16 La 0.3245 0.9136 0.2865  2 Rh 2.67-2.86
17 La 0.3730 0.2865 0.4620  2 Rh 2.67-2.86
18 La 0.3730 0.5864 0.9110  2 Rh 2.67-2.86
19 La 0.4110 0.0864 0.8730  2 Rh 2.67-2.86
20 La 0.4110 0.8245 0.5380  2 Rh 2.67-2.86
21 La 0.4136 0.0890 0.6270  2 Rh 2.67-2.86
22 La 0.4136 0.8245 0.7865  2 Rh 2.67-2.86
23 La 0.4620 0.3730 0.2865  2 Rh 2.67-2.86
24 La 0.4620 0.5890 0.1755  2 Rh 2.67-2.86
25 La 0.5380 0.4110 0.8245  2 Rh 2.67-2.86
26 La 0.5380 0.6270 0.7135  2 Rh 2.67-2.86
27 La 0.5864 0.1755 0.2135  2 Rh 2.67-2.86
28 La 0.5864 0.9110 0.3730  2 Rh 2.67-2.86
29 La 0.5890 0.1755 0.4620  2 Rh 2.67-2.86
30 La 0.5890 0.9136 0.1270  2 Rh 2.67-2.86
31 La 0.6270 0.4136 0.0890  2 Rh 2.67-2.86
32 La 0.6270 0.7135 0.5380  2 Rh 2.67-2.86
33 La 0.6755 0.0864 0.7135  2 Rh 2.67-2.86
34 La 0.6755 0.0890 0.9620  2 Rh 2.67-2.86
35 La 0.7135 0.5380 0.6270  2 Rh 2.67-2.86
36 La 0.7135 0.6755 0.0864  2 Rh 2.67-2.86
37 La 0.7865 0.4136 0.8245  2 Rh 2.67-2.86
38 La 0.7865 0.8730 0.9620  2 Rh 2.67-2.86
39 La 0.8245 0.5380 0.4110  2 Rh 2.67-2.86
40 La 0.8245 0.7865 0.4136  2 Rh 2.67-2.86
41 La 0.8730 0.4110 0.0864  2 Rh 2.67-2.86
42 La 0.8730 0.9620 0.7865  2 Rh 2.67-2.86
43 La 0.9110 0.0380 0.3245  2 Rh 2.67-2.86
44 La 0.9110 0.3730 0.5864  2 Rh 2.67-2.86
45 La 0.9136 0.1270 0.5890  2 Rh 2.67-2.86
46 La 0.9136 0.2865 0.3245  2 Rh 2.67-2.86
47 La 0.9620 0.6755 0.0890  2 Rh 2.67-2.86
48 La 0.9620 0.7865 0.8730  2 Rh 2.67-2.86
49 Rh 0.0000 0.0000 0.0000  6 La 2.86
50 Rh 0.0000 0.0000 0.5000  6 La 2.86
51 Rh 0.0000 0.5000 0.0000  6 La 2.86
52 Rh 0.0000 0.5000 0.5000  6 La 2.86
53 Rh 0.1250 0.7500 0.8750  4 La 2.67
54 Rh 0.1250 0.8750 0.2500  4 La 2.67
55 Rh 0.2500 0.1250 0.8750  4 La 2.67
56 Rh 0.2500 0.6250 0.3750  4 La 2.67
57 Rh 0.3750 0.2500 0.6250  4 La 2.67
58 Rh 0.3750 0.6250 0.7500  4 La 2.67
59 Rh 0.5000 0.0000 0.0000  6 La 2.86
60 Rh 0.5000 0.0000 0.5000  6 La 2.86
61 Rh 0.5000 0.5000 0.0000  6 La 2.86
62 Rh 0.5000 0.5000 0.5000  6 La 2.86
63 Rh 0.6250 0.3750 0.2500  4 La 2.67
64 Rh 0.6250 0.7500 0.3750  4 La 2.67
65 Rh 0.7500 0.3750 0.6250  4 La 2.67
66 Rh 0.7500 0.8750 0.1250  4 La 2.67
67 Rh 0.8750 0.1250 0.7500  4 La 2.67
68 Rh 0.8750 0.2500 0.1250  4 La 2.67
69 Au 0.1250 0.2500 0.3750  8 La 3.28-3.31
70 Au 0.1250 0.3750 0.7500  8 La 3.28-3.31
71 Au 0.2500 0.3750 0.1250  8 La 3.28-3.31
72 Au 0.2500 0.8750 0.6250  8 La 3.28-3.31
73 Au 0.3750 0.1250 0.2500  8 La 3.28-3.31
74 Au 0.3750 0.7500 0.1250  8 La 3.28-3.31
75 Au 0.6250 0.2500 0.8750  8 La 3.28-3.31
76 Au 0.6250 0.8750 0.7500  8 La 3.28-3.31
77 Au 0.7500 0.1250 0.3750  8 La 3.28-3.31
78 Au 0.7500 0.6250 0.8750  8 La 3.28-3.31
79 Au 0.8750 0.6250 0.2500  8 La 3.28-3.31
80 Au 0.8750 0.7500 0.6250  8 La 3.28-3.31

4.
Compound: La5RhAu2
Source: the Alexandria database
Functional: PBE
Structure: relaxed

Output
Its space group is Pbam (55). As for the calculated volume: 482 Å³/cell. Its energy of formation is -646 meV per atom. As for the density of states at the Fermi level: 17.89 states/eV per cell.

Unit cell a=9.2876 b=12.4616 c=4.1609 alpha=90.00 beta=90.00 gamma=90.00
Last column: nearest neighbours and their distance in Å.
Sites, in units of the cell vectors:
1 La 0.0000 0.0000 0.0000  4 Au 3.12
2 La 0.1433 0.2951 0.0000  1 Rh 2.88
3 La 0.1804 0.5786 0.5000  2 Rh 2.85
4 La 0.3196 0.0786 0.5000  2 Rh 2.85
5 La 0.3567 0.7951 0.0000  1 Rh 2.88
6 La 0.5000 0.5000 0.0000  4 Au 3.12
7 La 0.6433 0.2049 0.0000  1 Rh 2.88
8 La 0.6804 0.9214 0.5000  2 Rh 2.85
9 La 0.8196 0.4214 0.5000  2 Rh 2.85
10 La 0.8567 0.7049 0.0000  1 Rh 2.88
11 Rh 0.0000 0.5000 0.0000  6 La 2.85-2.88
12 Rh 0.5000 0.0000 0.0000  6 La 2.85-2.88
13 Au 0.0750 0.8222 0.5000  7 La 3.12-3.36
14 Au 0.4250 0.3222 0.5000  7 La 3.12-3.36
15 Au 0.5750 0.6778 0.5000  7 La 3.12-3.36
16 Au 0.9250 0.1778 0.5000  7 La 3.12-3.36

5.
Compound: La6RhAu3
Source: the Alexandria database
Functional: PBE
Structure: relaxed

Output
For the offset from the most stable computed form, the calculation gives 0 meV per atom. Its space group is P2_1/c (14). As for the calculated volume: 634 Å³/cell. Its energy of formation is -619 meV per atom. As for the density of states at the Fermi level: 22.10 states/eV per cell.

Unit cell a=7.4366 b=7.8831 c=12.5771 alpha=90.00 beta=120.77 gamma=90.00
Last column: nearest neighbours and their distance in Å.
Sites, in units of the cell vectors:
1 La 0.0826 0.0523 0.2476  1 Rh 2.88, 3 Au 3.10-3.18
2 La 0.0826 0.4477 0.7476  1 Rh 2.88, 3 Au 3.10-3.18
3 La 0.2305 0.6825 0.0828  1 Rh 2.91, 2 Au 3.05-3.17
4 La 0.2305 0.8175 0.5828  1 Rh 2.91, 2 Au 3.05-3.17
5 La 0.3727 0.1731 0.0675  1 Rh 2.80, 2 Au 3.01-3.10
6 La 0.3727 0.3269 0.5675  1 Rh 2.80, 2 Au 3.01-3.10
7 La 0.6273 0.6731 0.4325  1 Rh 2.80, 2 Au 3.01-3.10
8 La 0.6273 0.8269 0.9325  1 Rh 2.80, 2 Au 3.01-3.10
9 La 0.7695 0.1825 0.4172  1 Rh 2.91, 2 Au 3.05-3.17
10 La 0.7695 0.3175 0.9172  1 Rh 2.91, 2 Au 3.05-3.17
11 La 0.9174 0.5523 0.2524  1 Rh 2.88, 3 Au 3.10-3.18
12 La 0.9174 0.9477 0.7524  1 Rh 2.88, 3 Au 3.10-3.18
13 Rh 0.0000 0.0000 0.0000  6 La 2.80-2.91
14 Rh 0.0000 0.5000 0.5000  6 La 2.80-2.91
15 Au 0.3247 0.1150 0.7741  6 La 3.10-3.26
16 Au 0.3247 0.3850 0.2741  6 La 3.10-3.26
17 Au 0.5000 0.0000 0.5000  6 La 3.01-3.13
18 Au 0.5000 0.5000 0.0000  6 La 3.01-3.13
19 Au 0.6753 0.6150 0.7259  6 La 3.10-3.26
20 Au 0.6753 0.8850 0.2259  6 La 3.10-3.26

6.
Compound: La4RhAu
Source: the Alexandria database
Functional: PBE
Structure: relaxed

Output
For the offset from the most stable computed form, the calculation gives 0 meV per atom. Its space group is P4/mcc (124). As for the calculated volume: 356 Å³/cell. Its energy of formation is -514 meV per atom. As for the density of states at the Fermi level: 18.18 states/eV per cell.

Unit cell a=7.3137 b=7.3137 c=6.6466 alpha=90.00 beta=90.00 gamma=90.00
Last column: nearest neighbours and their distance in Å.
Sites, in units of the cell vectors:
1 La 0.1688 0.3120 0.0000  2 Rh 3.08, 2 Au 3.24
2 La 0.1688 0.6880 0.5000  2 Rh 3.08, 2 Au 3.24
3 La 0.3120 0.1688 0.5000  2 Rh 3.08, 2 Au 3.24
4 La 0.3120 0.8312 0.0000  2 Rh 3.08, 2 Au 3.24
5 La 0.6880 0.1688 0.0000  2 Rh 3.08, 2 Au 3.24
6 La 0.6880 0.8312 0.5000  2 Rh 3.08, 2 Au 3.24
7 La 0.8312 0.3120 0.5000  2 Rh 3.08, 2 Au 3.24
8 La 0.8312 0.6880 0.0000  2 Rh 3.08, 2 Au 3.24
9 Rh 0.0000 0.0000 0.2500  8 La 3.08, 2 Rh 3.32
10 Rh 0.0000 0.0000 0.7500  8 La 3.08, 2 Rh 3.32
11 Au 0.5000 0.5000 0.2500  8 La 3.24, 2 Au 3.32
12 Au 0.5000 0.5000 0.7500  8 La 3.24, 2 Au 3.32

Result set for DFT total energy: -5.555 -5.575 -5.750 -5.464 -5.294 -5.570 eV/atom, one per record in the order listed.